LiInBi: optimized geometry, PBE-GGA.

Cell: 4.7685 4.7685 4.7685 Å, 60.00 60.00 60.00°
Fractional positions:
Li 0.0000 0.0000 0.0000
In 0.7500 0.7500 0.7500
Bi 0.2500 0.2500 0.2500

Properties
Space-group type: F-43m (216)
Formation energy, eV per atom: -0.1712
Relative energy among the computed polymorphs, kJ per mole of atoms: 0.9